a) 6
Lattice="2.818 -1.627 0.000 2.818 1.627 0.000 -1.921 0.000 9.098" Properties=species:S:1:pos:R:3 comment="GeCF (GGA-PBE, relaxed)" magmom_total_mub_per_fu=0.00 pbc="T T T"
Ge 0.000 0.000 0.000
Ge 0.004 0.000 3.000
C 1.879 0.000 0.684
C 1.883 0.000 2.316
F -0.001 0.000 4.734
F 3.718 0.000 7.363


b) 3
Lattice="3.345 0.000 0.000 -1.673 2.897 0.000 0.000 0.000 4.119" Properties=species:S:1:pos:R:3 comment="GeCF (GGA-PBE, relaxed)" magmom_total_mub_per_fu=0.91 n_ef_per_ev_cell=0.98 pbc="T T T"
Ge 0.000 0.000 0.000
C 1.673 0.966 0.000
F 0.000 0.000 2.060


Which of them is least stable? Easy: b).


a) 4
Lattice="1.633 -2.745 0.000 1.633 2.745 0.000 0.000 0.000 8.571" Properties=species:S:1:pos:R:3 comment="Tc2SbTe (GGA-PBE, relaxed)" magmom_total_mub_per_fu=0.00 n_ef_per_ev_cell=4.84 pbc="T T T"
Tc 0.000 0.000 2.101
Tc 0.000 0.000 6.470
Sb 1.633 0.000 0.000
Te 1.633 0.000 4.285


b) 4
Lattice="1.557 0.899 10.522 -1.557 0.899 10.522 0.000 -1.798 10.522" Properties=species:S:1:pos:R:3 comment="Tc2SbTe (GGA-PBE, relaxed)" magmom_total_mub_per_fu=0.00 n_ef_per_ev_cell=3.02 pbc="T T T"
Tc 0.000 0.000 0.000
Tc 0.000 0.000 8.475
Sb 0.000 0.000 23.148
Te 0.000 0.000 16.923


Which of them is least stable? Easy: a).


a) 12
Lattice="4.638 0.000 0.000 0.000 2.540 0.000 -0.615 0.000 6.439" Properties=species:S:1:pos:R:3 comment="BC2 (GGA-PBE, relaxed)" magmom_total_mub_per_fu=0.00 n_ef_per_ev_cell=2.52 pbc="T T T"
B 0.000 0.000 0.000
B -0.317 0.000 4.604
B 3.002 0.000 2.831
B 3.712 1.270 0.749
C 0.690 1.270 2.700
C 0.582 1.270 4.250
C 1.558 0.000 0.598
C 1.446 0.000 2.196
C 2.260 1.270 0.107
C 1.929 1.270 5.002
C 2.742 0.000 4.664
C 3.864 1.270 2.279


b) 12
Lattice="4.265 -1.261 0.000 4.265 1.261 0.000 -4.038 0.000 6.980" Properties=species:S:1:pos:R:3 comment="BC2 (GGA-PBE, relaxed)" magmom_total_mub_per_fu=0.00 n_ef_per_ev_cell=0.47 pbc="T T T"
B 0.000 0.000 0.000
B -1.937 0.000 3.552
B -0.038 0.000 3.196
B 1.459 0.000 4.528
C -2.461 0.000 6.792
C -0.294 0.000 4.780
C 2.268 0.000 1.206
C 3.770 0.000 1.027
C 2.157 0.000 5.991
C 4.571 0.000 2.273
C 3.672 0.000 5.586
C 6.106 0.000 2.001


Which of them is least stable? Easy: a).